VASP calculation (PBE-GGA) on crystalline Ir2PdS at its relaxed geometry.

magnetic moment	0.00	Bohr magnetons per cell
ΔE_f (raw)	0.6384	eV per atom
space-group type	No. 122
D(E_F)	2.871	states/eV/cell

a b c (Å): 6.675 6.675 6.675
angles (deg): 132.06 132.06 70.13
Fractional positions:
Ir  0.071  0.625  0.946
Ir  0.375  0.321  0.446
Ir  0.679  0.125  0.054
Ir  0.875  0.929  0.554
Pd  0.250  0.750  0.500
Pd  0.500  0.500  0.000
S  0.000  0.000  0.000
S  0.750  0.250  0.500

VASP calculation (PBE-GGA) on crystalline SrTl3 at its relaxed geometry.

magnetic moment	0.00	Bohr magnetons per cell
energy of formation from the pure elements	-0.27	eV per formula unit
space-group type	No. 166
D(E_F)	2.637	states/eV/cell

a b c (Å): 10.798 10.798 10.798
angles (deg): 20.66 20.66 20.66
Fractional positions:
Sr  0.000  0.000  0.000
Tl  0.248  0.248  0.248
Tl  0.500  0.500  0.500
Tl  0.752  0.752  0.752

VASP calculation (PBE-GGA) on crystalline Co2HgSe at its relaxed geometry.

magnetic moment	0.00	Bohr magnetons per cell
ΔE_f (raw)	0.2606	eV per atom
space-group type	No. 166
D(E_F)	3.274	states/eV/cell

a b c (Å): 5.775 5.775 5.775
angles (deg): 37.36 37.36 37.36
Fractional positions:
Co  0.221  0.221  0.221
Co  0.779  0.779  0.779
Hg  0.000  0.000  0.000
Se  0.500  0.500  0.500